Below is Cs2Y2Ge after structural relaxation, with properties calculated at the PBE level.

Values from the calculation:
ΔE_f: 0.751 eV/atom
VASP energy: -3.100 eV per atom
SG: I4/mmm

Cell: 4.4738 4.4738 10.6302 Å, 77.85 77.85 90.00°
Last column: nearest neighbours and their distance in Å.
Positions (direct):
Ge 0.0000 0.0000 0.0000  8 Y 3.48
Y 0.5710 0.5710 0.8580  1 Y 2.88
Y 0.4290 0.4290 0.1420  1 Y 2.88
Cs 0.2500 0.7500 0.5000  4 Cs 3.16
Cs 0.7500 0.2500 0.5000  4 Cs 3.16